Compound: YBiPdAu2
Source: Alexandria via LeMat-Bulk
Functional: PBE-GGA
Structure: optimized geometry

For the formation energy, the calculation gives -0.023 eV/atom.

The structure belongs to space group P4/mmm (No. 123); the cell edges are 5.0755, 5.0755 and 5.1201 Å and the angles 90.00°, 90.00° and 90.00°. The distinct sites, in fractional coordinates, are Y at (0.0000, 0.0000, 0.0000), Bi at (0.5000, 0.5000, 0.0000), Pd at (0.5000, 0.5000, 0.5000) and Au at (0.0000, 0.5000, 0.5000).